The following is a PBE calculation of a geometry-optimized HoCu8Ni4 structure, from the Alexandria database.

a = 4.8349 Å, b = 6.3557 Å, c = 6.3557 Å
α = 81.68°, β = 67.64°, γ = 67.64°
Fractional positions:
Ho: 0.0000 0.0000 0.0000
Cu: 0.0000 0.3503 0.6497
Cu: 0.0000 0.6497 0.3503
Cu: 0.3503 0.6497 0.6497
Cu: 0.6497 0.3503 0.3503
Cu: 0.5000 0.7783 0.2217
Cu: 0.5000 0.2217 0.7783
Cu: 0.2783 0.2217 0.2217
Cu: 0.7217 0.7783 0.7783
Ni: 0.0000 0.0000 0.5000
Ni: 0.5000 0.0000 0.5000
Ni: 0.0000 0.5000 0.0000
Ni: 0.5000 0.5000 0.0000

Computed properties:
Electronic total energy (eV per cell): -62.02
Density of states at the Fermi level (states/eV per atom): 0.61
Space group: I4/mmm
E_form (meV per atom): -119